Version one
A plane-wave DFT calculation with PBE was carried out for a relaxed Y2HgO2 crystal.

Results
* theoretical density: 7.154 g/cm3
* Fermi-level density of states: 1.5 states/eV/cell
* V: 19.05 A^3/atom

abc: 4.0067 4.0067 6.5753
angles: 72.26 72.26 90.00
Closest atoms and distances in Å follow each position.
Fractional positions:
O 0.7500 0.2500 0.5000  4 Y 2.27
O 0.2500 0.7500 0.5000  4 Y 2.27
Y 0.6603 0.6603 0.6793  4 O 2.27
Y 0.3397 0.3397 0.3207  4 O 2.27
Hg 0.0000 0.0000 0.0000  8 Y 3.41, 8 O 3.58

=====

Version two
A plane-wave DFT calculation with PBE was carried out for a relaxed Y2HgO2 crystal.

Results
* theoretical density: 7.718 g/cm3
* Fermi-level density of states: 6.8 states/eV/cell
* V: 17.66 A^3/atom

abc: 7.6043 7.6043 3.0539
angles: 90.00 90.00 90.00
Closest atoms and distances in Å follow each position.
Fractional positions:
Hg 0.0000 0.0000 0.0000  4 Y 2.94, 2 Hg 3.05
Hg 0.5000 0.5000 0.0000  4 Y 2.94, 2 Hg 3.05
Y 0.3614 0.8614 0.0000  4 O 2.47
Y 0.8614 0.6386 0.0000  4 O 2.47
Y 0.6386 0.1386 0.0000  4 O 2.47
Y 0.1386 0.3614 0.0000  4 O 2.47
O 0.8848 0.3848 0.5000  4 Y 2.47, 1 O 2.48
O 0.1152 0.6152 0.5000  4 Y 2.47, 1 O 2.48
O 0.3848 0.1152 0.5000  4 Y 2.47, 1 O 2.48
O 0.6152 0.8848 0.5000  4 Y 2.47, 1 O 2.48

=====

Most stable structure, least stable structure: version one, version two.

=====

Version one
A plane-wave DFT calculation with PBE was carried out for a relaxed ZnHgO crystal.

Results
* theoretical density: 9.017 g/cm3
* Fermi-level density of states: 0.7 states/eV/cell
* V: 17.31 A^3/atom

abc: 3.2327 6.5646 6.4448
angles: 52.22 75.48 75.75
Closest atoms and distances in Å follow each position.
Fractional positions:
Hg 0.6127 0.6372 0.1375  1 O 2.40
Hg 0.3873 0.3628 0.8625  1 O 2.40
O 0.3499 0.8107 0.4895  3 Zn 1.97-2.16
O 0.6501 0.1893 0.5105  3 Zn 1.97-2.16
Zn 0.1578 0.9857 0.6986  3 O 1.97-2.16
Zn 0.8422 0.0143 0.3014  3 O 1.97-2.16

=====

Version two
A plane-wave DFT calculation with PBE was carried out for a relaxed ZnHgO crystal.

Results
* theoretical density: 7.665 g/cm3
* Fermi-level density of states: 0.2 states/eV/cell
* V: 20.37 A^3/atom

abc: 3.3142 3.3142 6.4229
angles: 90.00 90.00 120.00
Closest atoms and distances in Å follow each position.
Fractional positions:
Hg 0.0000 0.0000 0.0000  6 Hg 3.31
Zn 0.6667 0.3333 0.5000  3 O 1.91
O 0.3333 0.6667 0.5000  3 Zn 1.91

=====

Most stable structure, least stable structure: version two, version one.

=====

Version one
A plane-wave DFT calculation with PBE was carried out for a relaxed Zn2HgO crystal.

Results
* theoretical density: 9.194 g/cm3
* Fermi-level density of states: 4.9 states/eV/cell
* V: 15.69 A^3/atom

abc: 4.4603 4.4603 4.4603
angles: 60.00 60.00 60.00
Closest atoms and distances in Å follow each position.
Fractional positions:
Hg 0.5000 0.5000 0.5000  8 Zn 2.73
Zn 0.7500 0.7500 0.7500  4 O 2.73, 4 Hg 2.73
Zn 0.2500 0.2500 0.2500  4 O 2.73, 4 Hg 2.73
O 0.0000 0.0000 0.0000  8 Zn 2.73

=====

Version two
A plane-wave DFT calculation with PBE was carried out for a relaxed Zn2HgO crystal.

Results
* theoretical density: 8.291 g/cm3
* Fermi-level density of states: 0.3 states/eV/cell
* V: 17.40 A^3/atom

abc: 5.9547 5.9547 5.7560
angles: 58.85 58.85 90.00
Closest atoms and distances in Å follow each position.
Fractional positions:
Hg 0.7500 0.2500 0.5000  4 Zn 2.71
Hg 0.0000 0.0000 0.0000  4 Zn 2.71
Zn 0.2188 0.6250 0.2500  2 O 2.01
Zn 0.3750 0.4688 0.7500  2 O 2.01
Zn 0.5312 0.1250 0.2500  2 O 2.01
Zn 0.8750 0.7812 0.7500  2 O 2.01
O 0.2500 0.7500 0.5000  4 Zn 2.01
O 0.5000 0.5000 0.0000  4 Zn 2.01

=====

Most stable structure, least stable structure: version two, version one.

=====

Version one
A plane-wave DFT calculation with PBE was carried out for a relaxed Zr2HgO crystal.

Results
* theoretical density: 9.044 g/cm3
* Fermi-level density of states: 1.9 states/eV/cell
* V: 18.32 A^3/atom

abc: 4.6969 4.6969 4.6969
angles: 60.00 60.00 60.00
Closest atoms and distances in Å follow each position.
Fractional positions:
Hg 0.5000 0.5000 0.5000  8 Zr 2.88
Zr 0.7500 0.7500 0.7500  4 Hg 2.88, 4 O 2.88
Zr 0.2500 0.2500 0.2500  4 Hg 2.88, 4 O 2.88
O 0.0000 0.0000 0.0000  8 Zr 2.88

=====

Version two
A plane-wave DFT calculation with PBE was carried out for a relaxed Zr2HgO crystal.

Results
* theoretical density: 9.361 g/cm3
* Fermi-level density of states: 2.1 states/eV/cell
* V: 17.70 A^3/atom

abc: 3.3643 3.3643 7.4776
angles: 77.00 77.00 60.00
Closest atoms and distances in Å follow each position.
Fractional positions:
Hg 0.4997 0.4997 0.5010  6 Zr 3.07-3.08, 6 Hg 3.36
Zr 0.0565 0.0565 0.8305  3 O 2.29
Zr 0.2766 0.2766 0.1702  3 O 2.31
O 0.6672 0.6672 0.9983  6 Zr 2.29-2.31

=====

Most stable structure, least stable structure: version two, version one.